Entry 1:
Entry from Alexandria via LeMat-Bulk: a relaxed YInSi2Rh5 crystal (PBE).

Unit cell a=4.5272 b=4.5272 c=7.3055 alpha=90.00 beta=90.00 gamma=90.00
Positions (direct):
Y 0.0000 0.0000 0.0000
In 0.0000 0.0000 0.5000
Si 0.5000 0.5000 0.3321
Si 0.5000 0.5000 0.6679
Rh 0.0000 0.5000 0.2694
Rh 0.0000 0.5000 0.7306
Rh 0.5000 0.0000 0.2694
Rh 0.5000 0.0000 0.7306
Rh 0.5000 0.5000 0.0000

Values from the calculation:
symmetry: P4/mmm, No. 123
ΔE_f (raw): -0.554 eV per atom

=====

Entry 2:
Entry from Alexandria via LeMat-Bulk: a relaxed GeO crystal (PBE).

Unit cell a=3.6494 b=3.6494 c=3.6494 alpha=60.00 beta=60.00 gamma=60.00
Positions (direct):
Ge 0.0000 0.0000 0.0000
O 0.2500 0.2500 0.2500

Values from the calculation:
symmetry: F-43m, No. 216
ΔE_f (raw): -0.591 eV per atom

=====

Entry 3:
Entry from Alexandria via LeMat-Bulk: a relaxed AcPmBePt crystal (PBE).

Unit cell a=5.2044 b=5.2044 c=5.2044 alpha=60.00 beta=60.00 gamma=60.00
Positions (direct):
Ac 0.0000 0.0000 0.0000
Pm 0.5000 0.5000 0.5000
Be 0.7500 0.7500 0.7500
Pt 0.2500 0.2500 0.2500

Values from the calculation:
symmetry: F-43m, No. 216
energy of formation from the pure elements: -0.33 eV per atom

=====

Entry 4:
Entry from Alexandria via LeMat-Bulk: a relaxed Tb2CeGa4 crystal (PBE).

Unit cell a=9.6502 b=9.6502 c=9.6502 alpha=155.17 beta=154.10 gamma=36.19
Positions (direct):
Tb 0.1845 0.1845 0.0000
Tb 0.8155 0.8155 0.0000
Ce 0.0000 0.5000 0.5000
Ga 0.3529 0.3529 0.0000
Ga 0.4327 0.9327 0.5000
Ga 0.5673 0.0673 0.5000
Ga 0.6471 0.6471 0.0000

Values from the calculation:
symmetry: Immm, No. 71
energy of formation from the pure elements: -0.62 eV per atom

=====

Entry 5:
Entry from Alexandria via LeMat-Bulk: a relaxed Tb6PmPr3Er2 crystal (PBE).

Unit cell a=6.2349 b=6.2349 c=11.9117 alpha=94.99 beta=94.99 gamma=119.98
Positions (direct):
Tb 0.0838 0.4178 0.7541
Tb 0.2481 0.2481 0.2459
Tb 0.4178 0.0838 0.7541
Tb 0.5822 0.9162 0.2459
Tb 0.7519 0.7519 0.7541
Tb 0.9162 0.5822 0.2459
Pm 0.5000 0.5000 0.0000
Pr 0.0000 0.0000 0.5000
Pr 0.3331 0.6669 0.5000
Pr 0.6669 0.3331 0.5000
Er 0.1668 0.8332 0.0000
Er 0.8332 0.1668 0.0000

Values from the calculation:
symmetry: C2/m, No. 12
energy of formation from the pure elements: 0.02 eV per atom

=====

Entry 6:
Entry from Alexandria via LeMat-Bulk: a relaxed Pm3Co5Se12 crystal (PBE).

Unit cell a=13.2758 b=13.2758 c=13.2758 alpha=109.47 beta=109.47 gamma=109.47
Positions (direct):
Pm 0.1250 0.2500 0.3750
Pm 0.1250 0.3750 0.7500
Pm 0.2500 0.3750 0.1250
Pm 0.2500 0.8750 0.6250
Pm 0.3750 0.1250 0.2500
Pm 0.3750 0.7500 0.1250
Pm 0.6250 0.2500 0.8750
Pm 0.6250 0.8750 0.7500
Pm 0.7500 0.1250 0.3750
Pm 0.7500 0.6250 0.8750
Pm 0.8750 0.6250 0.2500
Pm 0.8750 0.7500 0.6250
Co 0.0000 0.0000 0.0000
Co 0.0000 0.0000 0.5000
Co 0.0000 0.5000 0.0000
Co 0.0000 0.5000 0.5000
Co 0.1250 0.7500 0.8750
Co 0.1250 0.8750 0.2500
Co 0.2500 0.1250 0.8750
Co 0.2500 0.6250 0.3750
Co 0.3750 0.2500 0.6250
Co 0.3750 0.6250 0.7500
Co 0.5000 0.0000 0.0000
Co 0.5000 0.0000 0.5000
Co 0.5000 0.5000 0.0000
Co 0.5000 0.5000 0.5000
Co 0.6250 0.3750 0.2500
Co 0.6250 0.7500 0.3750
Co 0.7500 0.3750 0.6250
Co 0.7500 0.8750 0.1250
Co 0.8750 0.1250 0.7500
Co 0.8750 0.2500 0.1250
Se 0.0223 0.1993 0.1120
Se 0.0223 0.3229 0.9103
Se 0.0874 0.6993 0.6771
Se 0.0874 0.8880 0.4103
Se 0.0897 0.6120 0.4126
Se 0.0897 0.9777 0.6771
Se 0.1120 0.0223 0.1993
Se 0.1120 0.5897 0.9126
Se 0.1771 0.1993 0.5874
Se 0.1771 0.4777 0.5897
Se 0.1993 0.1120 0.0223
Se 0.1993 0.5874 0.1771
Se 0.3007 0.3229 0.9126
Se 0.3007 0.4777 0.3880
Se 0.3229 0.9103 0.0223
Se 0.3229 0.9126 0.3007
Se 0.3880 0.3007 0.4777
Se 0.3880 0.5874 0.9103
Se 0.4103 0.0874 0.8880
Se 0.4103 0.8229 0.5223
Se 0.4126 0.0897 0.6120
Se 0.4126 0.8229 0.8007
Se 0.4777 0.3880 0.3007
Se 0.4777 0.5897 0.1771
Se 0.5223 0.4103 0.8229
Se 0.5223 0.6120 0.6993
Se 0.5874 0.1771 0.1993
Se 0.5874 0.9103 0.3880
Se 0.5897 0.1771 0.4777
Se 0.5897 0.9126 0.1120
Se 0.6120 0.4126 0.0897
Se 0.6120 0.6993 0.5223
Se 0.6771 0.0874 0.6993
Se 0.6771 0.0897 0.9777
Se 0.6993 0.5223 0.6120
Se 0.6993 0.6771 0.0874
Se 0.8007 0.4126 0.8229
Se 0.8007 0.8880 0.9777
Se 0.8229 0.5223 0.4103
Se 0.8229 0.8007 0.4126
Se 0.8880 0.4103 0.0874
Se 0.8880 0.9777 0.8007
Se 0.9103 0.0223 0.3229
Se 0.9103 0.3880 0.5874
Se 0.9126 0.1120 0.5897
Se 0.9126 0.3007 0.3229
Se 0.9777 0.6771 0.0897
Se 0.9777 0.8007 0.8880

Values from the calculation:
symmetry: Ia-3d, No. 230
ΔE_f (raw): -0.714 eV per atom

=====

Entry 7:
Entry from Alexandria via LeMat-Bulk: a relaxed SmAlGaAu3 crystal (PBE).

Unit cell a=7.0324 b=7.0324 c=6.1158 alpha=90.00 beta=90.00 gamma=122.89
Positions (direct):
Sm 0.1964 0.8036 0.7500
Sm 0.8036 0.1964 0.2500
Al 0.4448 0.5552 0.7500
Al 0.5552 0.4448 0.2500
Ga 0.1384 0.8616 0.2500
Ga 0.8616 0.1384 0.7500
Au 0.2125 0.2125 0.0000
Au 0.2125 0.2125 0.5000
Au 0.3409 0.6591 0.2500
Au 0.6591 0.3409 0.7500
Au 0.7875 0.7875 0.0000
Au 0.7875 0.7875 0.5000

Values from the calculation:
symmetry: Cmcm, No. 63
energy of formation from the pure elements: -0.41 eV per atom

=====

Entry 8:
Entry from Alexandria via LeMat-Bulk: a relaxed LaPr2Sm7 crystal (PBE).

Unit cell a=5.1756 b=7.3298 c=9.6938 alpha=100.92 beta=105.47 gamma=90.13
Positions (direct):
La 0.0000 0.0000 0.0000
Pr 0.1988 0.5998 0.3974
Pr 0.8012 0.4002 0.6026
Sm 0.0000 0.5000 0.0000
Sm 0.2003 0.1002 0.4003
Sm 0.3995 0.1991 0.7988
Sm 0.4000 0.6995 0.7998
Sm 0.6000 0.3005 0.2002
Sm 0.6005 0.8009 0.2012
Sm 0.7997 0.8998 0.5997

Values from the calculation:
symmetry: P-1, No. 2
energy of formation from the pure elements: 0.02 eV per atom
E above lowest polymorph: 0.0 meV/atom

=====

Entry 9:
Entry from Alexandria via LeMat-Bulk: a relaxed Zr4GaRh crystal (PBE).

Unit cell a=7.3473 b=7.3473 c=7.3473 alpha=126.69 beta=126.69 gamma=78.76
Positions (direct):
Zr 0.0240 0.5240 0.8230
Zr 0.2010 0.0240 0.5000
Zr 0.2990 0.7990 0.8230
Zr 0.4760 0.2990 0.5000
Zr 0.5240 0.7010 0.5000
Zr 0.7010 0.2010 0.1770
Zr 0.7990 0.9760 0.5000
Zr 0.9760 0.4760 0.1770
Ga 0.2500 0.2500 0.0000
Ga 0.7500 0.7500 0.0000
Rh 0.0000 0.0000 0.0000
Rh 0.5000 0.5000 0.0000

Values from the calculation:
symmetry: I4/mcm, No. 140
energy of formation from the pure elements: -0.35 eV per atom
E above lowest polymorph: 157.6 meV/atom

=====

Entry 10:
Entry from Alexandria via LeMat-Bulk: a relaxed HfCu2Ni2 crystal (PBE).

Unit cell a=6.7927 b=6.7927 c=2.8966 alpha=90.00 beta=90.00 gamma=90.00
Positions (direct):
Hf 0.0000 0.0000 0.0000
Hf 0.5000 0.5000 0.0000
Cu 0.1644 0.3356 0.5000
Cu 0.3356 0.8356 0.5000
Cu 0.6644 0.1644 0.5000
Cu 0.8356 0.6644 0.5000
Ni 0.1296 0.6296 0.0000
Ni 0.3704 0.1296 0.0000
Ni 0.6296 0.8704 0.0000
Ni 0.8704 0.3704 0.0000

Values from the calculation:
symmetry: P4/mbm, No. 127
energy of formation from the pure elements: -0.10 eV per atom
E above lowest polymorph: 53.2 meV/atom

=====

Entry 11:
Entry from Alexandria via LeMat-Bulk: a relaxed LaHfAu crystal (PBE).

Unit cell a=5.9206 b=5.9206 c=5.9206 alpha=115.69 beta=94.17 gamma=119.58
Positions (direct):
La 0.1322 0.2500 0.3822
La 0.8678 0.7500 0.6178
Hf 0.0872 0.5521 0.0351
Hf 0.5171 0.0521 0.9649
Au 0.5516 0.0516 0.5000
Au 0.5516 0.5516 0.0000

Values from the calculation:
symmetry: Ima2, No. 46
energy of formation from the pure elements: -0.34 eV per atom
E above lowest polymorph: 68.7 meV/atom

=====

Number 1: VASP energy -61.790 eV/cell, calculated volume 149.7 Å³/f.u., N(E_F) 0.5536 states/eV per atom. Number 2: VASP energy -10.757 eV/cell, calculated volume 34.4 Å³/f.u., N(E_F) 0.1119 states/eV per atom. Number 3: VASP energy -19.945 eV/cell, calculated volume 99.7 Å³/f.u., N(E_F) 0.6960 states/eV per atom. Number 4: VASP energy -31.620 eV/cell, calculated volume 164.6 Å³/f.u., N(E_F) 1.1543 states/eV per atom. Number 5: VASP energy -55.784 eV/cell, calculated volume 395.0 Å³/f.u., N(E_F) 1.3248 states/eV per atom. Number 6: VASP energy -423.463 eV/cell, calculated volume 450.3 Å³/f.u., N(E_F) 0.8870 states/eV per atom. Number 7: VASP energy -47.540 eV/cell, calculated volume 127.0 Å³/f.u., N(E_F) 0.5024 states/eV per atom. Number 8: VASP energy -47.352 eV/cell, calculated volume 347.5 Å³/f.u., N(E_F) 1.6618 states/eV per atom. Number 9: VASP energy -93.330 eV/cell, calculated volume 123.4 Å³/f.u., N(E_F) 0.7653 states/eV per atom. Number 10: VASP energy -60.406 eV/cell, calculated volume 66.8 Å³/f.u., N(E_F) 0.6100 states/eV per atom. Number 11: VASP energy -38.333 eV/cell, calculated volume 75.7 Å³/f.u., N(E_F) 0.9782 states/eV per atom.